1.
Density functional theory data (GGA-PBE) for crystalline CsLiFeI4 at its relaxed geometry.

For the raw total energy, the calculation gives -46.30 eV/cell. Its formation energy without anion corrections is -817.3 meV per atom. The calculation puts the total magnetization at 0.57 μB/atom. As for the symmetry: P2_1/m, No. 11.

Cell lengths 6.663, 8.269, 11.099 Å; angles 90.00, 107.26, 90.00 degrees
Element x y z (fractional)
Cs 0.670 0.750 0.866
Cs 0.330 0.250 0.134
Li 0.896 0.750 0.491
Li 0.104 0.250 0.509
Fe 0.167 0.750 0.291
Fe 0.833 0.250 0.709
I 0.074 0.501 0.698
I 0.926 0.001 0.302
I 0.926 0.499 0.302
I 0.074 0.999 0.698
I 0.267 0.750 0.081
I 0.733 0.250 0.919
I 0.481 0.750 0.496
I 0.519 0.250 0.504



2.
Density functional theory data (GGA-PBE) for crystalline Cs2LiFeI6 at its relaxed geometry.

For the raw total energy, the calculation gives -29.87 eV/cell. Its formation energy without anion corrections is -848.5 meV per atom. For the energy above the most stable polymorph in this dataset, the calculation gives 24 meV/atom. The calculation puts the total magnetization at 0.10 μB/atom. As for the symmetry: P-3m1, No. 164.

Cell lengths 7.044, 8.183, 8.183 Å; angles 120.00, 90.00, 90.00 degrees
Element x y z (fractional)
Cs 0.224 0.333 0.667
Cs 0.776 0.667 0.333
Li 0.500 0.000 0.000
Fe 0.000 0.000 0.000
I 0.779 0.154 0.308
I 0.779 0.154 0.846
I 0.779 0.692 0.846
I 0.221 0.846 0.154
I 0.221 0.308 0.154
I 0.221 0.846 0.692



3.
Density functional theory data (GGA-PBE) for crystalline CsMgFe2I8 at its relaxed geometry.

For the raw total energy, the calculation gives -38.86 eV/cell. Its formation energy without anion corrections is -590.3 meV per atom. The calculation puts the total magnetization at 0.75 μB/atom. As for the symmetry: R-3, No. 148.

Cell lengths 7.356, 7.356, 11.575 Å; angles 71.47, 71.47, 60.00 degrees
Element x y z (fractional)
Cs 0.500 0.500 0.500
Mg 0.000 0.000 0.000
Fe 0.255 0.255 0.235
Fe 0.745 0.745 0.765
I 0.176 0.176 0.472
I 0.621 0.272 0.162
I 0.824 0.824 0.528
I 0.945 0.621 0.162
I 0.055 0.379 0.838
I 0.272 0.945 0.162
I 0.728 0.055 0.838
I 0.379 0.728 0.838



4.
Density functional theory data (GGA-PBE) for crystalline CsMg2FeI8 at its relaxed geometry.

For the raw total energy, the calculation gives -33.82 eV/cell. Its formation energy without anion corrections is -742.5 meV per atom. The calculation puts the total magnetization at 0.37 μB/atom. As for the symmetry: P-1, No. 2.

Cell lengths 7.135, 7.148, 11.316 Å; angles 72.39, 102.38, 98.87 degrees
Element x y z (fractional)
Cs 0.000 0.000 0.500
Mg 0.701 0.522 0.873
Mg 0.299 0.478 0.127
Fe 0.000 0.000 0.000
I 0.184 0.772 0.220
I 0.642 0.749 0.032
I 0.914 0.246 0.127
I 0.816 0.228 0.780
I 0.358 0.251 0.968
I 0.086 0.754 0.873
I 0.525 0.716 0.637
I 0.475 0.284 0.363



5.
Density functional theory data (GGA-PBE) for crystalline CsFeI2N at its relaxed geometry.

For the raw total energy, the calculation gives -13.48 eV/cell. Its formation energy without anion corrections is 1452.2 meV per atom. For the energy above the most stable polymorph in this dataset, the calculation gives 1497 meV/atom. The calculation puts the total magnetization at 1.39 μB/atom. As for the symmetry: P4/mmm, No. 123.

Cell lengths 7.181, 7.181, 5.741 Å; angles 90.00, 90.00, 90.00 degrees
Element x y z (fractional)
Cs 0.000 0.000 0.000
I 0.000 0.500 0.000
I 0.500 0.000 0.000
Fe 0.500 0.500 0.500
N 0.000 0.000 0.500



6.
Density functional theory data (GGA-PBE) for crystalline CsFeI2N at its relaxed geometry.

For the raw total energy, the calculation gives -20.97 eV/cell. Its formation energy without anion corrections is -44.8 meV per atom. For the energy above the most stable polymorph in this dataset, the calculation gives 0 meV/atom. The calculation puts the total magnetization at 0.47 μB/atom. As for the symmetry: P4/mmm, No. 123.

Cell lengths 6.404, 6.404, 3.595 Å; angles 90.00, 90.00, 90.00 degrees
Element x y z (fractional)
Cs 0.500 0.500 0.500
I 0.000 0.500 0.000
I 0.500 0.000 0.000
Fe 0.000 0.000 0.000
N 0.000 0.000 0.500



7.
Density functional theory data (GGA-PBE) for crystalline CsNaFeI4 at its relaxed geometry.

For the raw total energy, the calculation gives -45.45 eV/cell. Its formation energy without anion corrections is -841.4 meV per atom. The calculation puts the total magnetization at 0.57 μB/atom. As for the symmetry: P2_1/m, No. 11.

Cell lengths 7.429, 8.373, 10.468 Å; angles 90.00, 108.50, 90.00 degrees
Element x y z (fractional)
Cs 0.754 0.750 0.932
Cs 0.246 0.250 0.068
Na 0.811 0.750 0.465
Na 0.189 0.250 0.535
Fe 0.203 0.750 0.314
Fe 0.797 0.250 0.686
I 0.029 0.497 0.717
I 0.971 0.997 0.283
I 0.971 0.503 0.283
I 0.029 0.003 0.717
I 0.355 0.750 0.120
I 0.645 0.250 0.880
I 0.449 0.750 0.554
I 0.551 0.250 0.446



8.
Density functional theory data (GGA-PBE) for crystalline CsNaFe2I6 at its relaxed geometry.

For the raw total energy, the calculation gives -68.98 eV/cell. Its formation energy without anion corrections is -609.3 meV per atom. The calculation puts the total magnetization at 0.80 μB/atom. As for the symmetry: C2/c, No. 15.

Cell lengths 10.465, 10.465, 8.320 Å; angles 102.19, 102.19, 85.19 degrees
Element x y z (fractional)
Cs 0.190 0.810 0.250
Cs 0.810 0.190 0.750
Na 0.603 0.397 0.250
Na 0.397 0.603 0.750
Fe 0.298 0.126 0.764
Fe 0.874 0.702 0.736
Fe 0.702 0.874 0.236
Fe 0.126 0.298 0.264
I 0.899 0.414 0.187
I 0.586 0.101 0.313
I 0.101 0.586 0.813
I 0.414 0.899 0.687
I 0.171 0.110 0.008
I 0.890 0.829 0.492
I 0.829 0.890 0.992
I 0.110 0.171 0.508
I 0.313 0.463 0.357
I 0.537 0.687 0.143
I 0.687 0.537 0.643
I 0.463 0.313 0.857



> Among the records above, which one has the lowest raw total energy?

CsNaFe2I6



> Which value of formation energy without anion corrections does entry 7 give?

-841.4 meV per atom



> Which formula does entry 5 have?

CsFeI2N



> What is the formula in the seventh record?

CsNaFeI4